Computed, not measured: K2BaUBr8 after structural relaxation at the PBE level of DFT.

Values from the calculation:
**Total magnetization**: 2.0 μB/f.u.
**E_form (uncorrected)**: -19.8 eV per formula unit

a b c (Å): 7.3295 9.6116 7.4536
angles (deg): 90.00 92.59 90.00
Sites, in units of the cell vectors:
K: 0.0000 0.2494 0.0000
K: 0.0000 0.7506 0.0000
Ba: 0.5000 0.0000 0.5000
U: 0.5000 0.5000 0.5000
Br: 0.1540 0.0000 0.2418
Br: 0.1839 0.5000 0.2816
Br: 0.3603 0.2878 0.7148
Br: 0.3603 0.7122 0.7148
Br: 0.6397 0.2878 0.2852
Br: 0.6397 0.7122 0.2852
Br: 0.8161 0.5000 0.7184
Br: 0.8460 0.0000 0.7582

---

Computed, not measured: KBaYBr6 after structural relaxation at the PBE level of DFT.

Values from the calculation:
**Total magnetization**: 0.0 μB/f.u.
**E_form (uncorrected)**: -17.6 eV per formula unit

a b c (Å): 7.9803 7.9803 13.6740
angles (deg): 90.00 90.00 120.00
Sites, in units of the cell vectors:
K: 0.0000 0.0000 0.0000
K: 0.0000 0.0000 0.5000
Ba: 0.3333 0.6667 0.2500
Ba: 0.6667 0.3333 0.7500
Y: 0.3333 0.6667 0.7500
Y: 0.6667 0.3333 0.2500
Br: 0.0407 0.3806 0.6313
Br: 0.0407 0.6600 0.8687
Br: 0.3400 0.3806 0.8687
Br: 0.3400 0.9593 0.6313
Br: 0.3806 0.0407 0.1313
Br: 0.3806 0.3400 0.3687
Br: 0.6194 0.6600 0.6313
Br: 0.6194 0.9593 0.8687
Br: 0.6600 0.0407 0.3687
Br: 0.6600 0.6194 0.1313
Br: 0.9593 0.3400 0.1313
Br: 0.9593 0.6194 0.3687

---

Computed, not measured: BaLa2Br after structural relaxation at the PBE level of DFT.

Values from the calculation:
**Offset from the most stable computed form**: 21.55 kJ per mole of atoms
**Total magnetization**: 0.2 μB/f.u.
**E_form (uncorrected)**: -1.5 eV per formula unit

a b c (Å): 3.7719 5.8850 6.7196
angles (deg): 90.00 90.00 90.00
Sites, in units of the cell vectors:
Ba: 0.0000 0.0000 0.0000
La: 0.0000 0.5000 0.5000
La: 0.5000 0.0000 0.5000
Br: 0.5000 0.5000 0.0000

---

Computed, not measured: BaLa2Br after structural relaxation at the PBE level of DFT.

Values from the calculation:
**Offset from the most stable computed form**: 46.68 kJ per mole of atoms
**Total magnetization**: 0.4 μB/f.u.
**E_form (uncorrected)**: -0.4 eV per formula unit

a b c (Å): 6.6352 6.6352 6.6352
angles (deg): 134.99 134.99 65.55
Sites, in units of the cell vectors:
Ba: 0.0000 0.0000 0.0000
La: 0.5000 0.5000 0.0000
La: 0.7500 0.2500 0.5000
Br: 0.2500 0.7500 0.5000

---

Computed, not measured: BaLa2Br after structural relaxation at the PBE level of DFT.

Values from the calculation:
**Offset from the most stable computed form**: 17.10 kJ per mole of atoms
**Total magnetization**: 0.0 μB/f.u.
**E_form (uncorrected)**: -1.7 eV per formula unit

a b c (Å): 3.8391 3.8391 11.7183
angles (deg): 90.00 90.00 116.63
Sites, in units of the cell vectors:
Ba: 0.0000 0.0000 0.0000
La: 0.5000 0.5000 0.2892
La: 0.5000 0.5000 0.7108
Br: 0.0000 0.0000 0.5000

---

Computed, not measured: BaLa2Br after structural relaxation at the PBE level of DFT.

Values from the calculation:
**Offset from the most stable computed form**: 22.40 kJ per mole of atoms
**Total magnetization**: 0.0 μB/f.u.
**E_form (uncorrected)**: -1.5 eV per formula unit

a b c (Å): 7.8763 7.8763 3.8208
angles (deg): 103.48 103.48 128.82
Sites, in units of the cell vectors:
Ba: 0.0000 0.0000 0.0000
La: 0.0000 0.5000 0.5000
La: 0.5000 0.0000 0.5000
Br: 0.5000 0.5000 0.0000

---

Computed, not measured: BaLa2Br after structural relaxation at the PBE level of DFT.

Values from the calculation:
**Offset from the most stable computed form**: 30.80 kJ per mole of atoms
**Total magnetization**: 0.0 μB/f.u.
**E_form (uncorrected)**: -1.1 eV per formula unit

a b c (Å): 8.5067 8.5067 8.5067
angles (deg): 148.07 148.07 45.78
Sites, in units of the cell vectors:
Ba: 0.0000 0.0000 0.0000
La: 0.2500 0.7500 0.5000
La: 0.7500 0.2500 0.5000
Br: 0.5000 0.5000 0.0000

---

Computed, not measured: BaLa2Br after structural relaxation at the PBE level of DFT.

Values from the calculation:
**Offset from the most stable computed form**: 23.87 kJ per mole of atoms
**Total magnetization**: 0.0 μB/f.u.
**E_form (uncorrected)**: -1.4 eV per formula unit

a b c (Å): 7.3002 7.3002 7.3002
angles (deg): 149.67 126.77 62.50
Sites, in units of the cell vectors:
Ba: 0.0000 0.0000 0.0000
La: 0.4312 0.4312 0.0000
La: 0.6971 0.1971 0.5000
Br: 0.2291 0.7291 0.5000

---

Computed, not measured: BaLa2Br after structural relaxation at the PBE level of DFT.

Values from the calculation:
**Offset from the most stable computed form**: 31.18 kJ per mole of atoms
**Total magnetization**: 0.0 μB/f.u.
**E_form (uncorrected)**: -1.1 eV per formula unit

a b c (Å): 4.6796 4.6796 7.8738
angles (deg): 90.00 90.00 90.00
Sites, in units of the cell vectors:
Ba: 0.0000 0.0000 0.0000
La: 0.0000 0.5000 0.5000
La: 0.5000 0.0000 0.5000
Br: 0.5000 0.5000 0.0000

---

Computed, not measured: BaLa2Br after structural relaxation at the PBE level of DFT.

Values from the calculation:
**Offset from the most stable computed form**: 38.24 kJ per mole of atoms
**Total magnetization**: 0.0 μB/f.u.
**E_form (uncorrected)**: -0.8 eV per formula unit

a b c (Å): 6.3750 6.3750 3.8123
angles (deg): 90.00 90.00 113.67
Sites, in units of the cell vectors:
Ba: 0.0000 0.0000 0.0000
La: 0.0000 0.5000 0.5000
La: 0.5000 0.0000 0.5000
Br: 0.5000 0.5000 0.0000

---

Question: total magnetization of number 9 (BaLa2Br)?
Answer: 0.0 μB/f.u.